Compound: Cs3Sm3TaSe8
Source: the Alexandria database
Functional: PBE-GGA
Structure: optimized geometry

Structure (POSCAR):
```
Cs3Sm3TaSe8
1.0
8.3596 0.0000 0.0000
-4.1798 7.2400 -0.0320
0.0000 -4.7914 8.6102
Se Sm Cs Ta
8 3 3 1
direct
0.2115 0.4231 0.6780
0.7885 0.5769 0.3220
0.2448 0.0333 0.3220
0.7305 0.4610 0.6914
0.2695 0.5390 0.3086
0.7552 0.9667 0.6780
0.2114 0.9667 0.6780
0.7886 0.0333 0.3220
0.5000 0.0000 0.5000
0.0000 0.5000 0.5000
0.5000 0.5000 0.5000
0.0000 0.5000 0.0000
0.5000 0.5000 0.0000
0.0000 0.0000 0.0000
0.0000 0.0000 0.5000
```

## Properties
SG: No. 166
E_tot (eV/atom): -5.245
Total moment (μB per formula unit): 1.0
Formation energy from raw total energies (meV per atom): -1481.4